This record from the Alexandria database describes CrPd2Pt after structural relaxation. The functional is PBE-GGA.

**DFT total energy**: -6.639 eV per atom
**D(E_F)**: 4.78 states/eV/cell
**Density**: 12.9 g cm⁻³
**ΔH_f (0 K)**: -0.126 eV per atom
**SG**: I-4m2, No. 119

```
CrPd2Pt
1.0
3.609 0.000 -1.499
-0.622 3.555 -1.499
-0.140 -0.167 4.758
Pd Cr Pt
2 1 1
Cartesian
1.494 1.778 -1.499 Pd
2.481 0.805 0.880 Pd
0.000 0.000 0.000 Cr
0.366 2.583 0.880 Pt
```